VASP calculation (PBE) on a relaxed structure of Na3SrPd.

Values from the calculation:
E_tot = -2.102 eV per atom
DFT formation energy = 0.06 eV/atom
N(E_F) = 2.66 states/eV/cell

abc: 5.561 5.561 5.561
angles: 90.00 90.00 90.00
Space group Pm-3m (No. 221)
Asymmetric unit:
Na  0.000  0.000  0.500 (multiplicity 3)
Sr  0.500  0.500  0.500 (multiplicity 1)
Pd  0.000  0.000  0.000 (multiplicity 1)


VASP calculation (PBE) on a relaxed structure of RbGa3Br.

Values from the calculation:
E_tot = -1.512 eV per atom
uncorrected formation energy = 0.832 eV/atom
N(E_F) = 2.91 states/eV/cell

abc: 6.333 6.333 6.333
angles: 90.00 90.00 90.00
Space group Pm-3m (No. 221)
Asymmetric unit:
Rb  0.000  0.000  0.000 (multiplicity 1)
Ga  0.000  0.000  0.500 (multiplicity 3)
Br  0.500  0.500  0.500 (multiplicity 1)


Q: Which of these has the highest N(E_F)?
A: RbGa3Br


Q: The lowest E_tot belongs to which entry?
A: Na3SrPd